(1)
# Si5Ru4, relaxed, DFT PBE
# Energy relative to the lowest polymorph listed for this composition ... 0.108 eV per atom
# Crystal system ... tetragonal
# Space-group type ... I4/mmm
# Raw formation energy ... -0.14 eV/atom
# E ... -7.275 eV per atom
data_Si5Ru4
_space_group_name_H-M_alt 'P 1'
_space_group_IT_number 1
_space_group_name_Hall 'P 1'
_cell_length_a 5.862
_cell_length_b 5.862
_cell_length_c 5.862
_cell_angle_alpha 96.54
_cell_angle_beta 96.54
_cell_angle_gamma 140.56
loop_
_atom_site_label
_atom_site_type_symbol
_atom_site_fract_x
_atom_site_fract_y
_atom_site_fract_z
Si1 Si 0.000 0.000 0.000
Si2 Si 0.329 0.329 0.659
Si3 Si 0.329 0.671 0.000
Si4 Si 0.671 0.329 0.000
Si5 Si 0.671 0.671 0.341
Ru1 Ru 0.000 0.293 0.293
Ru2 Ru 0.000 0.707 0.707
Ru3 Ru 0.293 0.000 0.293
Ru4 Ru 0.707 0.000 0.707

(2)
# HgMoIr2, relaxed, DFT PBE
# Formation energy ... 0.6 eV per formula unit
# Crystal system ... orthorhombic
# Space-group type ... Pmmm
# E ... -7.071 eV per atom
data_HgMoIr2
_space_group_name_H-M_alt 'P 1'
_space_group_IT_number 1
_space_group_name_Hall 'P 1'
_cell_length_a 2.854
_cell_length_b 3.831
_cell_length_c 5.952
_cell_angle_alpha 90.00
_cell_angle_beta 90.00
_cell_angle_gamma 90.00
loop_
_atom_site_label
_atom_site_type_symbol
_atom_site_fract_x
_atom_site_fract_y
_atom_site_fract_z
Hg1 Hg 0.000 0.000 0.000
Mo1 Mo 0.000 0.000 0.500
Ir1 Ir 0.500 0.500 0.274
Ir2 Ir 0.500 0.500 0.726

(3)
# PmPaSiNi, relaxed, DFT PBE
# Crystal system ... cubic
# Space-group type ... F-43m
# Raw formation energy ... -0.15 eV/atom
# E ... -6.510 eV per atom
data_PmPaSiNi
_space_group_name_H-M_alt 'P 1'
_space_group_IT_number 1
_space_group_name_Hall 'P 1'
_cell_length_a 4.932
_cell_length_b 4.932
_cell_length_c 4.932
_cell_angle_alpha 60.00
_cell_angle_beta 60.00
_cell_angle_gamma 60.00
loop_
_atom_site_label
_atom_site_type_symbol
_atom_site_fract_x
_atom_site_fract_y
_atom_site_fract_z
Pm1 Pm 0.000 0.000 0.000
Pa1 Pa 0.500 0.500 0.500
Si1 Si 0.750 0.750 0.750
Ni1 Ni 0.250 0.250 0.250

(4)
# PuCuPtO6, relaxed, DFT PBE
# Crystal system ... trigonal
# Space-group type ... P-31c
# Raw formation energy ... -1.31 eV/atom
# E ... -7.336 eV per atom
data_PuCuPtO6
_space_group_name_H-M_alt 'P 1'
_space_group_IT_number 1
_space_group_name_Hall 'P 1'
_cell_length_a 5.221
_cell_length_b 5.221
_cell_length_c 9.230
_cell_angle_alpha 90.00
_cell_angle_beta 90.00
_cell_angle_gamma 120.00
loop_
_atom_site_label
_atom_site_type_symbol
_atom_site_fract_x
_atom_site_fract_y
_atom_site_fract_z
Pu1 Pu 0.333 0.667 0.250
Pu2 Pu 0.667 0.333 0.750
Cu1 Cu 0.000 0.000 0.000
Cu2 Cu 0.000 0.000 0.500
Pt1 Pt 0.333 0.667 0.750
Pt2 Pt 0.667 0.333 0.250
O1 O 0.005 0.342 0.628
O2 O 0.005 0.663 0.872
O3 O 0.337 0.342 0.872
O4 O 0.337 0.995 0.628
O5 O 0.342 0.005 0.128
O6 O 0.342 0.337 0.372
O7 O 0.658 0.663 0.628
O8 O 0.658 0.995 0.872
O9 O 0.663 0.005 0.372
O10 O 0.663 0.658 0.128
O11 O 0.995 0.337 0.128
O12 O 0.995 0.658 0.372

(5)
# KSeCl2, relaxed, DFT PBE
# Energy relative to the lowest polymorph listed for this composition ... 0.025 eV per atom
# Crystal system ... monoclinic
# Space-group type ... C2/m
# Raw formation energy ... -0.83 eV/atom
# E ... -2.894 eV per atom
data_KSeCl2
_space_group_name_H-M_alt 'P 1'
_space_group_IT_number 1
_space_group_name_Hall 'P 1'
_cell_length_a 5.060
_cell_length_b 5.060
_cell_length_c 5.890
_cell_angle_alpha 97.33
_cell_angle_beta 97.33
_cell_angle_gamma 59.15
loop_
_atom_site_label
_atom_site_type_symbol
_atom_site_fract_x
_atom_site_fract_y
_atom_site_fract_z
K1 K 0.000 0.000 0.000
Se1 Se 0.500 0.500 0.500
Cl1 Cl 0.311 0.311 0.757
Cl2 Cl 0.689 0.689 0.243

(6)
# ZrCoW3, relaxed, DFT PBE
# Formation energy ... 14.7 eV per formula unit
# Energy relative to the lowest polymorph listed for this composition ... 1.889 eV per atom
# Crystal system ... cubic
# Space-group type ... Pm-3m
# E ... -7.955 eV per atom
data_ZrCoW3
_space_group_name_H-M_alt 'P 1'
_space_group_IT_number 1
_space_group_name_Hall 'P 1'
_cell_length_a 4.743
_cell_length_b 4.743
_cell_length_c 4.743
_cell_angle_alpha 90.00
_cell_angle_beta 90.00
_cell_angle_gamma 90.00
loop_
_atom_site_label
_atom_site_type_symbol
_atom_site_fract_x
_atom_site_fract_y
_atom_site_fract_z
Zr1 Zr 0.000 0.000 0.000
Co1 Co 0.500 0.500 0.500
W1 W 0.000 0.000 0.500
W2 W 0.000 0.500 0.000
W3 W 0.500 0.000 0.000

(7)
# AlCo3, relaxed, DFT PBE
# Formation energy ... -0.7 eV per formula unit
# Crystal system ... cubic
# Space-group type ... Pm-3m
# E ... -6.447 eV per atom
data_AlCo3
_space_group_name_H-M_alt 'P 1'
_space_group_IT_number 1
_space_group_name_Hall 'P 1'
_cell_length_a 3.576
_cell_length_b 3.576
_cell_length_c 3.576
_cell_angle_alpha 90.00
_cell_angle_beta 90.00
_cell_angle_gamma 90.00
loop_
_atom_site_label
_atom_site_type_symbol
_atom_site_fract_x
_atom_site_fract_y
_atom_site_fract_z
Al1 Al 0.000 0.000 0.000
Co1 Co 0.000 0.500 0.500
Co2 Co 0.500 0.000 0.500
Co3 Co 0.500 0.500 0.000

(8)
# CdInPd, relaxed, DFT PBE
# Formation energy ... -1.0 eV per formula unit
# Crystal system ... orthorhombic
# Space-group type ... Ima2
# E ... -3.275 eV per atom
data_CdInPd
_space_group_name_H-M_alt 'P 1'
_space_group_IT_number 1
_space_group_name_Hall 'P 1'
_cell_length_a 5.590
_cell_length_b 5.590
_cell_length_c 5.590
_cell_angle_alpha 113.85
_cell_angle_beta 107.28
_cell_angle_gamma 107.37
loop_
_atom_site_label
_atom_site_type_symbol
_atom_site_fract_x
_atom_site_fract_y
_atom_site_fract_z
Cd1 Cd 0.248 0.250 0.498
Cd2 Cd 0.752 0.750 0.502
In1 In 0.248 0.747 0.001
In2 In 0.746 0.247 0.999
Pd1 Pd 0.748 0.248 0.500
Pd2 Pd 0.748 0.748 0.000

(9)
# Sm2Er9Sc, relaxed, DFT PBE
# Formation energy ... 0.4 eV per formula unit
# Crystal system ... tetragonal
# Space-group type ... P4/mmm
# E ... -4.704 eV per atom
data_Sm2Er9Sc
_space_group_name_H-M_alt 'P 1'
_space_group_IT_number 1
_space_group_name_Hall 'P 1'
_cell_length_a 4.966
_cell_length_b 4.966
_cell_length_c 14.858
_cell_angle_alpha 90.00
_cell_angle_beta 90.00
_cell_angle_gamma 90.00
loop_
_atom_site_label
_atom_site_type_symbol
_atom_site_fract_x
_atom_site_fract_y
_atom_site_fract_z
Sm1 Sm 0.000 0.000 0.168
Sm2 Sm 0.000 0.000 0.832
Er1 Er 0.000 0.500 0.000
Er2 Er 0.000 0.500 0.339
Er3 Er 0.000 0.500 0.661
Er4 Er 0.500 0.000 0.000
Er5 Er 0.500 0.000 0.339
Er6 Er 0.500 0.000 0.661
Er7 Er 0.500 0.500 0.170
Er8 Er 0.500 0.500 0.500
Er9 Er 0.500 0.500 0.830
Sc1 Sc 0.000 0.000 0.500

(10)
# YTaCo, relaxed, DFT PBE
# Formation energy ... 4.7 eV per formula unit
# Energy relative to the lowest polymorph listed for this composition ... 1.756 eV per atom
# Crystal system ... cubic
# Space-group type ... F-43m
# E ... -6.892 eV per atom
data_YTaCo
_space_group_name_H-M_alt 'P 1'
_space_group_IT_number 1
_space_group_name_Hall 'P 1'
_cell_length_a 4.474
_cell_length_b 4.474
_cell_length_c 4.474
_cell_angle_alpha 60.00
_cell_angle_beta 60.00
_cell_angle_gamma 60.00
loop_
_atom_site_label
_atom_site_type_symbol
_atom_site_fract_x
_atom_site_fract_y
_atom_site_fract_z
Y1 Y 0.000 0.000 0.000
Ta1 Ta 0.250 0.250 0.250
Co1 Co 0.750 0.750 0.750

(11)
# AgBiH2, relaxed, DFT PBE
# Energy relative to the lowest polymorph listed for this composition ... 0.000 eV per atom
# Crystal system ... tetragonal
# Space-group type ... I-42d
# E ... -2.904 eV per atom
data_AgBiH2
_space_group_name_H-M_alt 'P 1'
_space_group_IT_number 1
_space_group_name_Hall 'P 1'
_cell_length_a 5.797
_cell_length_b 5.797
_cell_length_c 5.797
_cell_angle_alpha 126.42
_cell_angle_beta 126.42
_cell_angle_gamma 79.20
loop_
_atom_site_label
_atom_site_type_symbol
_atom_site_fract_x
_atom_site_fract_y
_atom_site_fract_z
Ag1 Ag 0.000 0.000 0.000
Ag2 Ag 0.750 0.250 0.500
Bi1 Bi 0.250 0.750 0.500
Bi2 Bi 0.500 0.500 0.000
H1 H 0.012 0.625 0.887
H2 H 0.375 0.262 0.387
H3 H 0.738 0.125 0.113
H4 H 0.875 0.988 0.613

(12)
# V2FeAsW, relaxed, DFT PBE
# Formation energy ... 6.0 eV per formula unit
# Energy relative to the lowest polymorph listed for this composition ... 0.322 eV per atom
# Crystal system ... tetragonal
# Space-group type ... P4/mmm
# E ... -7.656 eV per atom
data_V2FeAsW
_space_group_name_H-M_alt 'P 1'
_space_group_IT_number 1
_space_group_name_Hall 'P 1'
_cell_length_a 4.455
_cell_length_b 4.455
_cell_length_c 4.626
_cell_angle_alpha 90.00
_cell_angle_beta 90.00
_cell_angle_gamma 90.00
loop_
_atom_site_label
_atom_site_type_symbol
_atom_site_fract_x
_atom_site_fract_y
_atom_site_fract_z
V1 V 0.000 0.500 0.000
V2 V 0.500 0.000 0.000
Fe1 Fe 0.000 0.000 0.500
As1 As 0.500 0.500 0.000
W1 W 0.500 0.500 0.500